1.
## CuAg4 (PBE)

Data for CuAg4 after structural relaxation.

The structure in POSCAR format:
```
CuAg4
1.0
-1.678 -4.321 -1.864
0.528 -4.727 1.531
-7.547 0.814 5.000
Ag Cu
8 2
Direct
0.000 0.000 0.000
0.303 0.303 0.106
0.599 0.599 0.205
0.200 0.200 0.402
0.500 0.500 0.500
0.800 0.800 0.598
0.401 0.401 0.795
0.697 0.697 0.894
0.900 0.900 0.301
0.100 0.100 0.699
```

Results
Space-group type = C2/m, No. 12
ΔE_f = 0.0595 eV/atom
Crystal system = monoclinic

=====

2.
## ZrBeAlCo (PBE)

Data for ZrBeAlCo after structural relaxation.

The structure in POSCAR format:
```
ZrBeAlCo
1.0
-1.275 -2.493 -3.228
-2.891 1.439 -2.797
1.175 0.921 -4.004
Al Be Co Zr
1 1 1 1
Direct
0.000 0.000 0.000
0.750 0.750 0.750
0.500 0.500 0.500
0.250 0.250 0.250
```

Results
Space-group type = F-43m, No. 216
Raw total energy = -0.437 Ry/atom
Crystal system = cubic

=====

3.
## Ho3ErB2Pb2 (PBE)

Data for Ho3ErB2Pb2 after structural relaxation.

The structure in POSCAR format:
```
Ho3ErB2Pb2
1.0
3.674 0.000 0.000
-1.837 3.182 0.000
0.000 0.000 16.615
B Er Ho Pb
2 1 3 2
Direct
0.667 0.333 0.000
0.667 0.333 0.500
0.000 0.000 0.089
0.000 0.000 0.411
0.333 0.667 0.589
0.333 0.667 0.911
0.333 0.667 0.249
0.000 0.000 0.750
```

Results
Space-group type = P3m1, No. 156
Raw total energy = -0.375 Ry/atom
Crystal system = trigonal

=====

4.
## KGaOs (PBE)

Data for KGaOs after structural relaxation.

The structure in POSCAR format:
```
KGaOs
1.0
0.000 3.531 3.531
3.531 0.000 3.531
3.531 3.531 0.000
Ga K Os
1 1 1
Direct
0.250 0.250 0.250
0.000 0.000 0.000
0.750 0.750 0.750
```

Results
Space-group type = F-43m, No. 216
Raw total energy = -0.217 Ry/atom
Crystal system = cubic

=====

5.
## Nd2GaSn (PBE)

Data for Nd2GaSn after structural relaxation.

The structure in POSCAR format:
```
Nd2GaSn
1.0
4.284 0.000 0.000
0.000 2.297 5.789
0.000 -2.297 5.789
Ga Nd Sn
1 2 1
Direct
0.500 0.082 0.082
0.500 0.356 0.356
0.000 0.638 0.638
0.000 0.924 0.924
```

Results
Space-group type = Amm2, No. 38
Raw total energy = -0.356 Ry/atom
Crystal system = orthorhombic